# 1
{"formula": "Nd6Tc2HCl3", "functional": "PBE-GGA", "state": "relaxed", "magmom_total_mub_per_cell": 0.0, "lattice": [[3.261, -6.018, 0.000], [3.261, 6.018, 0.000], [-2.344, 0.000, 7.829]], "species": ["Nd", "Nd", "Nd", "Nd", "Nd", "Nd", "Tc", "Tc", "H", "Cl", "Cl", "Cl"], "fractional_positions": [[0.118, 0.436, 0.783], [0.221, 0.221, 0.190], [0.436, 0.118, 0.783], [0.564, 0.882, 0.217], [0.779, 0.779, 0.810], [0.882, 0.564, 0.217], [0.179, 0.821, 0.000], [0.821, 0.179, 0.000], [0.500, 0.500, 0.000], [0.000, 0.000, 0.500], [0.321, 0.679, 0.500], [0.679, 0.321, 0.500]]}

# 2
{"formula": "NiHCl3", "functional": "PBE-GGA", "state": "relaxed", "magmom_total_mub_per_cell": 0.4, "lattice": [[4.613, 0.000, 0.000], [0.000, 4.613, 0.000], [0.000, 0.000, 4.613]], "species": ["Ni", "H", "Cl", "Cl", "Cl"], "fractional_positions": [[0.000, 0.000, 0.000], [0.500, 0.500, 0.500], [0.000, 0.000, 0.500], [0.000, 0.500, 0.000], [0.500, 0.000, 0.000]]}

# 3
{"formula": "Ni3HCl", "functional": "PBE-GGA", "state": "relaxed", "magmom_total_mub_per_cell": 1.9, "lattice": [[3.746, 0.000, 0.000], [0.000, 3.746, 0.000], [0.000, 0.000, 3.746]], "species": ["Ni", "Ni", "Ni", "H", "Cl"], "fractional_positions": [[0.000, 0.000, 0.500], [0.000, 0.500, 0.000], [0.500, 0.000, 0.000], [0.000, 0.000, 0.000], [0.500, 0.500, 0.500]]}

# 4
{"formula": "NiHCl3", "functional": "PBE-GGA", "state": "relaxed", "magmom_total_mub_per_cell": 2.0, "lattice": [[4.345, 0.000, 0.000], [0.000, 4.345, 0.000], [0.000, 0.000, 4.345]], "species": ["Ni", "H", "Cl", "Cl", "Cl"], "fractional_positions": [[0.000, 0.000, 0.000], [0.500, 0.500, 0.500], [0.000, 0.500, 0.500], [0.500, 0.000, 0.500], [0.500, 0.500, 0.000]]}

# 5
{"formula": "NiH6Cl2", "functional": "PBE-GGA", "state": "relaxed", "magmom_total_mub_per_cell": 0.0, "lattice": [[3.564, -2.634, 0.000], [3.564, 2.634, 0.000], [-1.010, 0.000, 7.037]], "species": ["Ni", "H", "H", "H", "H", "H", "H", "Cl", "Cl"], "fractional_positions": [[0.000, 0.000, 0.000], [0.093, 0.254, 0.159], [0.254, 0.093, 0.159], [0.463, 0.463, 0.533], [0.537, 0.537, 0.467], [0.746, 0.907, 0.841], [0.907, 0.746, 0.841], [0.188, 0.188, 0.789], [0.812, 0.812, 0.211]]}

Number 1: VASP energy -0.205 Ha/atom. Number 2: VASP energy -0.098 Ha/atom. Number 3: VASP energy -0.150 Ha/atom. Number 4: VASP energy -0.081 Ha/atom. Number 5: VASP energy -0.125 Ha/atom.